1.
This record from the Alexandria database describes Be12Au after structural relaxation. The functional is GGA-PBE.

Results
energy of formation	0.83	eV per formula unit

Cell lengths 5.605, 5.605, 5.605 Å; angles 98.43, 98.43, 134.96 degrees
Fractional positions:
1 Be 0.000 0.000 0.500
2 Be 0.500 0.000 0.000
3 Be 0.000 0.500 0.000
4 Be 0.500 0.500 0.500
5 Be 0.351 0.000 0.351
6 Be 0.000 0.351 0.351
7 Be 0.000 0.649 0.649
8 Be 0.649 0.000 0.649
9 Be 0.265 0.500 0.765
10 Be 0.500 0.265 0.765
11 Be 0.500 0.735 0.235
12 Be 0.735 0.500 0.235
13 Au 0.000 0.000 0.000

---

2.
This record from the Alexandria database describes BeSnPb2 after structural relaxation. The functional is GGA-PBE.

Results
energy of formation	1.84	eV per formula unit

Cell lengths 5.730, 5.730, 8.463 Å; angles 70.21, 70.21, 90.00 degrees
Fractional positions:
1 Pb 0.543 0.125 0.250
2 Pb 0.207 0.625 0.250
3 Pb 0.375 0.457 0.750
4 Pb 0.875 0.793 0.750
5 Be 0.500 0.500 0.000
6 Be 0.250 0.750 0.500
7 Sn 0.000 0.000 0.000
8 Sn 0.750 0.250 0.500

---

3.
This record from the Alexandria database describes TlZn2Bi after structural relaxation. The functional is GGA-PBE.

Results
energy of formation	0.93	eV per formula unit

Cell lengths 7.824, 7.824, 6.485 Å; angles 52.89, 52.89, 90.00 degrees
Fractional positions:
1 Zn 0.631 0.125 0.250
2 Zn 0.119 0.625 0.250
3 Zn 0.375 0.369 0.750
4 Zn 0.875 0.881 0.750
5 Tl 0.500 0.500 0.000
6 Tl 0.250 0.750 0.500
7 Bi 0.000 0.000 0.000
8 Bi 0.750 0.250 0.500

---

4.
This record from the Alexandria database describes Si3TeCl after structural relaxation. The functional is GGA-PBE.

Results
ΔE_f (raw)	1127	meV/atom

Cell lengths 4.879, 4.879, 4.879 Å; angles 90.00, 90.00, 90.00 degrees
Fractional positions:
1 Si 0.000 0.500 0.000
2 Si 0.000 0.000 0.500
3 Si 0.500 0.000 0.000
4 Te 0.500 0.500 0.500
5 Cl 0.000 0.000 0.000

---

5.
This record from the Alexandria database describes ErB3Rh3 after structural relaxation. The functional is GGA-PBE.

Results
energy of formation	-2.33	eV per formula unit

Cell lengths 6.990, 6.990, 6.990 Å; angles 90.00, 90.00, 90.00 degrees
Fractional positions:
1 Er 0.051 0.551 0.949
2 Er 0.949 0.051 0.551
3 Er 0.449 0.449 0.449
4 Er 0.551 0.949 0.051
5 B 0.679 0.556 0.970
6 B 0.944 0.030 0.179
7 B 0.970 0.679 0.556
8 B 0.056 0.530 0.321
9 B 0.321 0.056 0.530
10 B 0.179 0.944 0.030
11 B 0.030 0.179 0.944
12 B 0.444 0.470 0.821
13 B 0.530 0.321 0.056
14 B 0.556 0.970 0.679
15 B 0.821 0.444 0.470
16 B 0.470 0.821 0.444
17 Rh 0.818 0.318 0.182
18 Rh 0.909 0.909 0.909
19 Rh 0.785 0.715 0.285
20 Rh 0.182 0.818 0.318
21 Rh 0.215 0.215 0.215
22 Rh 0.285 0.785 0.715
23 Rh 0.091 0.409 0.591
24 Rh 0.318 0.182 0.818
25 Rh 0.715 0.285 0.785
26 Rh 0.682 0.682 0.682
27 Rh 0.591 0.091 0.409
28 Rh 0.409 0.591 0.091

---

6.
This record from the Alexandria database describes TaPt4Se after structural relaxation. The functional is GGA-PBE.

Results
ΔE_f (raw)	83	meV/atom

Cell lengths 5.276, 5.276, 5.276 Å; angles 60.00, 60.00, 60.00 degrees
Fractional positions:
1 Ta 0.000 0.000 0.000
2 Pt 0.625 0.625 0.124
3 Pt 0.625 0.124 0.625
4 Pt 0.625 0.625 0.625
5 Pt 0.124 0.625 0.625
6 Se 0.250 0.250 0.250

---

7.
This record from the Alexandria database describes Cu2BiN2 after structural relaxation. The functional is GGA-PBE.

Results
ΔE_f (raw)	1032	meV/atom

Cell lengths 7.324, 7.324, 3.455 Å; angles 90.00, 90.00, 90.00 degrees
Fractional positions:
1 Bi 0.000 0.000 0.000
2 Bi 0.500 0.500 0.000
3 Cu 0.344 0.844 0.000
4 Cu 0.844 0.656 0.000
5 Cu 0.656 0.156 0.000
6 Cu 0.156 0.344 0.000
7 N 0.347 0.847 0.500
8 N 0.847 0.653 0.500
9 N 0.653 0.153 0.500
10 N 0.153 0.347 0.500

---

8.
This record from the Alexandria database describes Pm2ErAu3 after structural relaxation. The functional is GGA-PBE.

Results
energy of formation	-4.91	eV per formula unit

Cell lengths 3.624, 3.624, 11.094 Å; angles 90.00, 90.00, 90.00 degrees
Fractional positions:
1 Pm 0.500 0.500 0.830
2 Pm 0.500 0.500 0.170
3 Er 0.500 0.500 0.500
4 Au 0.000 0.000 0.000
5 Au 0.000 0.000 0.653
6 Au 0.000 0.000 0.347

---

9.
This record from the Alexandria database describes Ba12AgRh5 after structural relaxation. The functional is GGA-PBE.

Results
energy of formation	-2.92	eV per formula unit

Cell lengths 7.961, 7.977, 14.895 Å; angles 94.72, 99.50, 60.07 degrees
Fractional positions:
1 Ba 0.801 0.000 0.389
2 Ba 0.199 0.000 0.611
3 Ba 0.606 0.000 0.882
4 Ba 0.394 0.000 0.118
5 Ba 0.322 0.642 0.882
6 Ba 0.036 0.642 0.118
7 Ba 0.964 0.358 0.882
8 Ba 0.678 0.358 0.118
9 Ba 0.535 0.332 0.610
10 Ba 0.867 0.668 0.610
11 Ba 0.133 0.332 0.390
12 Ba 0.465 0.668 0.390
13 Ag 0.000 0.000 0.000
14 Rh 0.500 0.000 0.500
15 Rh 0.166 0.668 0.500
16 Rh 0.834 0.332 0.500
17 Rh 0.667 0.667 0.000
18 Rh 0.333 0.333 0.000

---

10.
This record from the Alexandria database describes SiNi2Os after structural relaxation. The functional is GGA-PBE.

Results
ΔE_f (raw)	-71	meV/atom

Cell lengths 2.635, 2.635, 6.849 Å; angles 90.00, 90.00, 90.00 degrees
Last column: magnetic moment on the atom in μB.
Fractional positions:
1 Ni 0.000 0.000 0.973  0.01
2 Ni 0.000 0.000 0.527  0.01
3 Os 0.500 0.500 0.250  0.09
4 Si 0.500 0.500 0.750  0.00

---

no.,total moment (Bohr magnetons per cell)
1,0.00
2,0.00
3,0.00
4,0.00
5,0.00
6,0.00
7,0.00
8,0.00
9,0.00
10,0.10